Below is crystalline Ba2NdS3 at its relaxed geometry, with properties calculated at the GGA-PBE level.

## Properties
uncorrected formation energy: -2.026 eV/atom
mass density: 4.83 g/cm³
space-group type: Fddd (70)
E above lowest polymorph: 0 meV/atom

Cell: 14.4345 13.7610 7.5855 Å, 79.36 69.55 31.10°
Positions (direct):
Ba: 0.0436 0.0436 0.2064
Ba: 0.1228 0.1228 0.6272
Ba: 0.2064 0.2064 0.0436
Ba: 0.3728 0.3728 0.8772
Ba: 0.6272 0.6272 0.1228
Ba: 0.7936 0.7936 0.9564
Ba: 0.8772 0.8772 0.3728
Ba: 0.9564 0.9564 0.7936
Nd: 0.2914 0.2914 0.4586
Nd: 0.4586 0.4586 0.2914
Nd: 0.5414 0.5414 0.7086
Nd: 0.7086 0.7086 0.5414
S: 0.0367 0.5373 0.2380
S: 0.1519 0.5981 0.5981
S: 0.2380 0.6880 0.0367
S: 0.3120 0.7620 0.4627
S: 0.4019 0.8481 0.8481
S: 0.4627 0.9633 0.3120
S: 0.5373 0.0367 0.6880
S: 0.5981 0.1519 0.1519
S: 0.6880 0.2380 0.5373
S: 0.7620 0.3120 0.9633
S: 0.8481 0.4019 0.4019
S: 0.9633 0.4627 0.7620